Record 1
{
  "formula": "Dy3Cu2Ge3",
  "functional": "PBE",
  "state": "optimized geometry",
  "cell": [[4.2245, 0.0000, 0.0000], [-2.1122, 5.2816, 0.0000], [0.0000, 0.0000, 14.1648]],
  "species": ["Dy", "Dy", "Dy", "Dy", "Dy", "Dy", "Cu", "Cu", "Cu", "Cu", "Ge", "Ge", "Ge", "Ge", "Ge", "Ge"],
  "fractional_positions": [[0.9166, 0.8331, 0.3872], [0.0834, 0.1669, 0.8872], [0.9166, 0.8331, 0.1128], [0.0834, 0.1669, 0.6128], [0.6345, 0.2690, 0.2500], [0.3655, 0.7310, 0.7500], [0.7880, 0.5759, 0.9068], [0.2120, 0.4241, 0.4068], [0.7880, 0.5759, 0.5932], [0.2120, 0.4241, 0.0932], [0.6138, 0.2276, 0.4584], [0.3862, 0.7724, 0.9584], [0.6138, 0.2276, 0.0416], [0.3862, 0.7724, 0.5416], [0.3384, 0.6769, 0.2500], [0.6616, 0.3231, 0.7500]],
  "density_g_cm3": 8.75
}

---

Record 2
{
  "formula": "Dy2Cu3Ge",
  "functional": "PBE",
  "state": "optimized geometry",
  "cell": [[3.4687, 0.0000, 0.0000], [0.0000, 4.2425, 0.0000], [0.0000, 0.0000, 7.5947]],
  "species": ["Dy", "Dy", "Cu", "Cu", "Cu", "Ge"],
  "fractional_positions": [[0.0000, 0.5000, 0.9893], [0.0000, 0.0000, 0.5117], [0.5000, 0.0000, 0.8371], [0.5000, 0.0000, 0.1667], [0.5000, 0.5000, 0.6644], [0.5000, 0.5000, 0.3307]],
  "density_g_cm3": 8.74
}

---

Record 3
{
  "formula": "Dy3CuGe3",
  "functional": "PBE",
  "state": "optimized geometry",
  "cell": [[-3.7010, -2.0242, 0.6255], [0.6573, -5.6878, 0.0202], [0.4056, -1.1699, 13.1513]],
  "species": ["Dy", "Dy", "Dy", "Dy", "Dy", "Dy", "Cu", "Cu", "Ge", "Ge", "Ge", "Ge", "Ge", "Ge"],
  "fractional_positions": [[0.5325, 0.3166, 0.6184], [0.4675, 0.6834, 0.3816], [0.2566, 0.2609, 0.2260], [0.7434, 0.7391, 0.7740], [0.3997, 0.2781, 0.9225], [0.6003, 0.7219, 0.0775], [0.7587, 0.0870, 0.3956], [0.2413, 0.9130, 0.6044], [0.8625, 0.7292, 0.5457], [0.1375, 0.2708, 0.4543], [0.1234, 0.8291, 0.9240], [0.8766, 0.1709, 0.0760], [0.9666, 0.8332, 0.2337], [0.0334, 0.1668, 0.7663]],
  "density_g_cm3": 8.65
}

---

Record 4
{
  "formula": "Dy2CuGe3",
  "functional": "PBE",
  "state": "optimized geometry",
  "cell": [[5.5225, 0.8195, -1.5285], [-1.4164, 5.4003, -1.5285], [-0.5520, -0.8361, 8.1713]],
  "species": ["Dy", "Dy", "Dy", "Dy", "Cu", "Cu", "Ge", "Ge", "Ge", "Ge", "Ge", "Ge"],
  "fractional_positions": [[0.2500, 0.7500, 0.5000], [0.7580, 0.7580, 0.0000], [0.7500, 0.2500, 0.5000], [0.2420, 0.2420, 0.0000], [0.3327, 0.3327, 0.6654], [0.6673, 0.6673, 0.3346], [0.6534, 0.1755, 0.8289], [0.8245, 0.3466, 0.1711], [0.3466, 0.8245, 0.1711], [0.1755, 0.6534, 0.8289], [0.8296, 0.8296, 0.6591], [0.1704, 0.1704, 0.3409]],
  "density_g_cm3": 8.38,
  "de_polymorph_ev_per_atom": 0.0000
}

---

Record 5
{
  "formula": "Dy2CuGe",
  "functional": "PBE",
  "state": "optimized geometry",
  "cell": [[-2.1570, 3.5594, -0.3704], [-3.5911, -2.5764, -3.8454], [-2.7193, -0.8894, 7.2894]],
  "species": ["Dy", "Dy", "Dy", "Dy", "Cu", "Cu", "Ge", "Ge"],
  "fractional_positions": [[0.7500, 0.2151, 0.4385], [0.2500, 0.7849, 0.5615], [0.2500, 0.7863, 0.0833], [0.7500, 0.2137, 0.9167], [0.7500, 0.6330, 0.2836], [0.2500, 0.3670, 0.7164], [0.2500, 0.3383, 0.2094], [0.7500, 0.6617, 0.7906]],
  "density_g_cm3": 8.52
}

---

Record 6
{
  "formula": "DyCu4Ge4",
  "functional": "PBE",
  "state": "optimized geometry",
  "cell": [[-5.7696, -1.2117, -0.7201], [1.3399, -5.6566, -1.2174], [-0.6232, -1.9162, 8.2178]],
  "species": ["Dy", "Dy", "Cu", "Cu", "Cu", "Cu", "Cu", "Cu", "Cu", "Cu", "Ge", "Ge", "Ge", "Ge", "Ge", "Ge", "Ge", "Ge"],
  "fractional_positions": [[0.0000, 0.0000, 0.0000], [0.5000, 0.5000, 0.5000], [0.2197, 0.5000, 0.9243], [0.7803, 0.5000, 0.9243], [0.5000, 0.7803, 0.0757], [0.5000, 0.2197, 0.0757], [0.0000, 0.7197, 0.4243], [0.0000, 0.2803, 0.4243], [0.2803, 0.0000, 0.5757], [0.7197, 0.0000, 0.5757], [0.5000, 0.7780, 0.7899], [0.5000, 0.2220, 0.7899], [0.7780, 0.5000, 0.2101], [0.2220, 0.5000, 0.2101], [0.2780, 0.0000, 0.2899], [0.7220, 0.0000, 0.2899], [0.0000, 0.2780, 0.7101], [0.0000, 0.7220, 0.7101]],
  "density_g_cm3": 7.87
}

---

| no. | electronic total energy (eV per atom) | energy relative to the elements (eV per formula unit) |
| --- | --- | --- |
| 1 | -5.17 | -5.51 |
| 2 | -4.78 | -2.59 |
| 3 | -5.31 | -5.42 |
| 4 | -5.18 | -3.90 |
| 5 | -5.05 | -2.30 |
| 6 | -4.50 | -1.02 |